# 1
Below is a relaxed structure of Sr2ErCdS4, with properties calculated at the PBE level.

energy relative to the elements, uncorrected = -1.642 eV/atom
E = -4.811 eV per atom
density of states at the Fermi level = 3.5 states/eV/f.u.

Cell and atoms, written as CIF:
```
data_Sr2ErCdS4
_chemical_formula_sum 'Sr2 Er1 Cd1 S4'
_cell_length_a 6.988
_cell_length_b 4.082
_cell_length_c 7.293
_cell_angle_alpha 90.00
_cell_angle_beta 109.90
_cell_angle_gamma 90.00
_symmetry_space_group_name_H-M 'P 1 2/m 1'
_symmetry_Int_Tables_number 10
loop_
_symmetry_equiv_pos_as_xyz
'x,y,z'
'-x,-y,-z'
'-x,y,-z'
'x,-y,z'
loop_
_atom_site_label
_atom_site_fract_x
_atom_site_fract_y
_atom_site_fract_z
Sr1 0.000 0.000 0.000
Sr2 0.000 0.500 0.500
Er1 0.500 0.000 0.500
Cd1 0.500 0.500 0.000
S1 0.272 0.500 0.267
S2 0.276 0.000 0.746
```

# 2
Below is a relaxed structure of PmPrThCd, with properties calculated at the PBE level.

ΔE_f = 23 kJ/mol of formula units
E = -4.406 eV per atom
density of states at the Fermi level = 7.9 states/eV/f.u.

Cell and atoms, written as CIF:
```
data_PmPrThCd
_chemical_formula_sum 'Pm4 Pr4 Th4 Cd4'
_cell_length_a 7.899
_cell_length_b 7.899
_cell_length_c 7.899
_cell_angle_alpha 90.00
_cell_angle_beta 90.00
_cell_angle_gamma 90.00
_symmetry_space_group_name_H-M 'F -4 3 m'
_symmetry_Int_Tables_number 216
_symmetry_space_group_name_Hall 'F -4 2 3'
loop_
_atom_site_label
_atom_site_fract_x
_atom_site_fract_y
_atom_site_fract_z
Pm1 0.000 0.000 0.000
Pr1 0.250 0.250 0.250
Th1 0.250 0.250 0.750
Cd1 0.000 0.000 0.500
```

# 3
Below is a relaxed structure of Tl8SI3Br3, with properties calculated at the PBE level.

energy relative to the elements, uncorrected = -0.665 eV/atom
E = -2.847 eV per atom
density of states at the Fermi level = 0.0 states/eV/f.u.

Cell and atoms, written as CIF:
```
data_Tl8SI3Br3
_chemical_formula_sum 'Tl24 S3 I9 Br9'
_cell_length_a 9.6389
_cell_length_b 9.6389
_cell_length_c 24.2357
_cell_angle_alpha 90.00
_cell_angle_beta 90.00
_cell_angle_gamma 120.00
_symmetry_space_group_name_H-M 'R -3 m'
_symmetry_Int_Tables_number 166
_symmetry_space_group_name_Hall '-R 3 2"'
loop_
_atom_site_label
_atom_site_fract_x
_atom_site_fract_y
_atom_site_fract_z
Tl1 0.0000 0.0000 0.2442
Tl2 0.0333 0.5167 0.2370
S1 0.0000 0.0000 0.5000
I1 0.0000 0.5000 0.0000
Br1 0.0000 0.5000 0.5000
```

# 4
Below is a relaxed structure of Ag2GeP, with properties calculated at the PBE level.

ΔE_f = 125 kJ/mol of formula units
E = -3.609 eV per atom
density of states at the Fermi level = 2.0 states/eV/f.u.

Cell and atoms, written as CIF:
```
data_Ag2GeP
_chemical_formula_sum 'Ag8 Ge4 P4'
_cell_length_a 4.150
_cell_length_b 4.150
_cell_length_c 17.543
_cell_angle_alpha 90.00
_cell_angle_beta 90.00
_cell_angle_gamma 90.00
_symmetry_space_group_name_H-M 'I -4 2 d'
_symmetry_Int_Tables_number 122
_symmetry_space_group_name_Hall 'I -4 2bw'
loop_
_atom_site_label
_atom_site_fract_x
_atom_site_fract_y
_atom_site_fract_z
Ag1 0.244 0.250 0.125
Ge1 0.000 0.000 0.500
P1 0.000 0.000 0.000
```

# 5
Below is a relaxed structure of K2LaPCO7, with properties calculated at the PBE level.

energy relative to the elements, uncorrected = -2.382 eV/atom
E = -7.087 eV per atom
density of states at the Fermi level = 0.0 states/eV/f.u.

Cell and atoms, written as CIF:
```
data_K2LaPCO7
_chemical_formula_sum 'K4 La2 P2 C2 O14'
_cell_length_a 5.667
_cell_length_b 7.417
_cell_length_c 10.232
_cell_angle_alpha 90.00
_cell_angle_beta 91.35
_cell_angle_gamma 90.00
_symmetry_space_group_name_H-M 'P 1 21/m 1'
_symmetry_Int_Tables_number 11
loop_
_symmetry_equiv_pos_as_xyz
'x,y,z'
'-x,-y,-z'
'-x,y+1/2,-z'
'x,-y+1/2,z'
loop_
_atom_site_label
_atom_site_fract_x
_atom_site_fract_y
_atom_site_fract_z
K1 0.239 0.016 0.295
La1 0.299 0.250 0.893
P1 0.206 0.750 0.929
C1 0.251 0.250 0.608
O1 0.068 0.250 0.092
O2 0.073 0.250 0.690
O3 0.219 0.250 0.485
O4 0.263 0.750 0.079
O5 0.316 0.578 0.868
O6 0.461 0.250 0.665
```

# 6
Below is a relaxed structure of LiNdAu2, with properties calculated at the PBE level.

ΔE_f = -225 kJ/mol of formula units
E = -3.891 eV per atom
density of states at the Fermi level = 2.4 states/eV/f.u.

Cell and atoms, written as CIF:
```
data_LiNdAu2
_chemical_formula_sum 'Li4 Nd4 Au8'
_cell_length_a 6.982
_cell_length_b 9.837
_cell_length_c 5.493
_cell_angle_alpha 90.00
_cell_angle_beta 90.00
_cell_angle_gamma 90.00
_symmetry_space_group_name_H-M 'C m c m'
_symmetry_Int_Tables_number 63
_symmetry_space_group_name_Hall '-C 2c 2'
loop_
_atom_site_label
_atom_site_fract_x
_atom_site_fract_y
_atom_site_fract_z
Li1 0.000 0.000 0.000
Nd1 0.000 0.357 0.250
Au1 0.209 0.369 0.750
```

# 7
Below is a relaxed structure of LaYS3, with properties calculated at the PBE level.

energy relative to the elements, uncorrected = -2.152 eV/atom
E = -6.907 eV per atom

Cell and atoms, written as CIF:
```
data_LaYS3
_chemical_formula_sum 'La8 Y8 S24'
_cell_length_a 11.136
_cell_length_b 4.030
_cell_length_c 21.807
_cell_angle_alpha 90.00
_cell_angle_beta 101.38
_cell_angle_gamma 90.00
_symmetry_space_group_name_H-M 'P 1 21/m 1'
_symmetry_Int_Tables_number 11
loop_
_symmetry_equiv_pos_as_xyz
'x,y,z'
'-x,-y,-z'
'-x,y+1/2,-z'
'x,-y+1/2,z'
loop_
_atom_site_label
_atom_site_fract_x
_atom_site_fract_y
_atom_site_fract_z
La1 0.092 0.250 0.364
La2 0.200 0.250 0.037
La3 0.302 0.750 0.733
La4 0.309 0.250 0.233
Y1 0.030 0.250 0.850
Y2 0.179 0.250 0.546
Y3 0.447 0.250 0.917
Y4 0.477 0.750 0.412
S1 0.039 0.250 0.230
S2 0.058 0.750 0.944
S3 0.086 0.750 0.463
S4 0.124 0.250 0.663
S5 0.206 0.750 0.135
S6 0.252 0.750 0.326
S7 0.255 0.250 0.822
S8 0.342 0.750 0.599
S9 0.355 0.750 0.986
S10 0.363 0.250 0.464
S11 0.452 0.250 0.134
S12 0.494 0.250 0.720
```

# 8
Below is a relaxed structure of CoAsRuSe2, with properties calculated at the PBE level.

energy relative to the elements, uncorrected = 0.781 eV/atom
E = -4.819 eV per atom
density of states at the Fermi level = 6.0 states/eV/f.u.
E above lowest polymorph = 0.000 eV per atom

Cell and atoms, written as CIF:
```
data_CoAsRuSe2
_chemical_formula_sum 'Co1 As1 Ru1 Se2'
_cell_length_a 4.604
_cell_length_b 4.604
_cell_length_c 4.371
_cell_angle_alpha 90.00
_cell_angle_beta 90.00
_cell_angle_gamma 90.00
_symmetry_space_group_name_H-M 'P 4/m m m'
_symmetry_Int_Tables_number 123
_symmetry_space_group_name_Hall '-P 4 2'
loop_
_atom_site_label
_atom_site_fract_x
_atom_site_fract_y
_atom_site_fract_z
Co1 0.000 0.000 0.000
As1 0.000 0.000 0.500
Ru1 0.500 0.500 0.500
Se1 0.000 0.500 0.000
```

# 9
Below is a relaxed structure of Ba2Al3Ga2, with properties calculated at the PBE level.

ΔE_f = -190 kJ/mol of formula units
E = -3.300 eV per atom
density of states at the Fermi level = 4.0 states/eV/f.u.

Cell and atoms, written as CIF:
```
data_Ba2Al3Ga2
_chemical_formula_sum 'Ba4 Al6 Ga4'
_cell_length_a 12.944
_cell_length_b 4.318
_cell_length_c 7.215
_cell_angle_alpha 90.00
_cell_angle_beta 101.12
_cell_angle_gamma 90.00
_symmetry_space_group_name_H-M 'C 1 2/m 1'
_symmetry_Int_Tables_number 12
loop_
_symmetry_equiv_pos_as_xyz
'x,y,z'
'-x,-y,-z'
'-x,y,-z'
'x,-y,z'
'x+1/2,y+1/2,z'
'-x+1/2,-y+1/2,-z'
'-x+1/2,y+1/2,-z'
'x+1/2,-y+1/2,z'
loop_
_atom_site_label
_atom_site_fract_x
_atom_site_fract_y
_atom_site_fract_z
Ba1 0.174 0.000 0.234
Al1 0.000 0.500 0.500
Al2 0.058 0.500 0.871
Ga1 0.107 0.000 0.688
```

# 10
Below is a relaxed structure of Rb2NdMnTe4, with properties calculated at the PBE level.

energy relative to the elements, uncorrected = -0.833 eV/atom
E = -4.388 eV per atom
density of states at the Fermi level = 1.8 states/eV/f.u.

Cell and atoms, written as CIF:
```
data_Rb2NdMnTe4
_chemical_formula_sum 'Rb8 Nd4 Mn4 Te16'
_cell_length_a 9.128
_cell_length_b 9.490
_cell_length_c 13.683
_cell_angle_alpha 90.00
_cell_angle_beta 90.00
_cell_angle_gamma 90.00
_symmetry_space_group_name_H-M 'I m m a'
_symmetry_Int_Tables_number 74
_symmetry_space_group_name_Hall '-I 2b 2'
loop_
_atom_site_label
_atom_site_fract_x
_atom_site_fract_y
_atom_site_fract_z
Rb1 0.000 0.000 0.000
Rb2 0.250 0.250 0.250
Nd1 0.000 0.000 0.500
Mn1 0.250 0.250 0.750
Te1 0.000 0.067 0.739
Te2 0.226 0.250 0.513
```

# 11
Below is a relaxed structure of SrSc2Cr, with properties calculated at the PBE level.

ΔE_f = 195 kJ/mol of formula units
E = -5.486 eV per atom
density of states at the Fermi level = 5.2 states/eV/f.u.
E above lowest polymorph = 0.210 eV per atom

Cell and atoms, written as CIF:
```
data_SrSc2Cr
_chemical_formula_sum 'Sr2 Sc4 Cr2'
_cell_length_a 3.654
_cell_length_b 5.288
_cell_length_c 10.841
_cell_angle_alpha 90.00
_cell_angle_beta 90.00
_cell_angle_gamma 90.00
_symmetry_space_group_name_H-M 'I m m 2'
_symmetry_Int_Tables_number 44
loop_
_symmetry_equiv_pos_as_xyz
'x,y,z'
'-x,-y,z'
'-x,y,z'
'x,-y,z'
'x+1/2,y+1/2,z+1/2'
'-x+1/2,-y+1/2,z+1/2'
'-x+1/2,y+1/2,z+1/2'
'x+1/2,-y+1/2,z+1/2'
loop_
_atom_site_label
_atom_site_fract_x
_atom_site_fract_y
_atom_site_fract_z
Sr1 0.000 0.000 0.000
Sc1 0.000 0.000 0.425
Sc2 0.000 0.500 0.211
Cr1 0.000 0.500 0.736
```

# 12
Below is a relaxed structure of CaInSn6, with properties calculated at the PBE level.

ΔE_f = -124 kJ/mol of formula units
E = -3.755 eV per atom
density of states at the Fermi level = 4.4 states/eV/f.u.

Cell and atoms, written as CIF:
```
data_CaInSn6
_chemical_formula_sum 'Ca1 In1 Sn6'
_cell_length_a 6.3049
_cell_length_b 6.3049
_cell_length_c 6.4350
_cell_angle_alpha 90.00
_cell_angle_beta 90.00
_cell_angle_gamma 120.00
_symmetry_space_group_name_H-M 'P 6/m m m'
_symmetry_Int_Tables_number 191
_symmetry_space_group_name_Hall '-P 6 2'
loop_
_atom_site_label
_atom_site_fract_x
_atom_site_fract_y
_atom_site_fract_z
Ca1 0.0000 0.0000 0.0000
In1 0.0000 0.0000 0.5000
Sn1 0.0000 0.5000 0.2516
```